# P2IrRu | Alexandria via LeMat-Bulk | SCAN | PBEsol geometry
# Excess energy over the best structure of this formula in the dataset (meV per atom): 286
# DOS at the Fermi energy (states/eV per atom): 0.792
# DFT formation energy (meV per atom): 345
data_P2IrRu
_cell_length_a 2.810
_cell_length_b 4.991
_cell_length_c 7.793
_cell_angle_alpha 90.00
_cell_angle_beta 90.00
_cell_angle_gamma 90.00
_symmetry_space_group_name_H-M 'C m m m'
_symmetry_Int_Tables_number 65
_symmetry_space_group_name_Hall '-C 2 2'
loop_
_atom_site_label
_atom_site_fract_x
_atom_site_fract_y
_atom_site_fract_z
P1 0.000 0.000 0.244
Ir1 0.000 0.500 0.500
Ru1 0.000 0.500 0.000

---

# CaTaCo2 | Alexandria via LeMat-Bulk | SCAN | PBEsol geometry
# Excess energy over the best structure of this formula in the dataset (meV per atom): 296
# DOS at the Fermi energy (states/eV per atom): 0.662
# DFT formation energy (meV per atom): 529
data_CaTaCo2
_cell_length_a 3.1692
_cell_length_b 3.1692
_cell_length_c 22.9483
_cell_angle_alpha 90.00
_cell_angle_beta 90.00
_cell_angle_gamma 120.00
_symmetry_space_group_name_H-M 'R -3 m'
_symmetry_Int_Tables_number 166
_symmetry_space_group_name_Hall '-R 3 2"'
loop_
_atom_site_label
_atom_site_fract_x
_atom_site_fract_y
_atom_site_fract_z
Ca1 0.0000 0.0000 0.0000
Ta1 0.0000 0.0000 0.5000
Co1 0.0000 0.0000 0.2371

---

# Li2CaZr | Alexandria via LeMat-Bulk | SCAN | PBEsol geometry
# Excess energy over the best structure of this formula in the dataset (meV per atom): 0
# DOS at the Fermi energy (states/eV per atom): 1.020
# DFT formation energy (meV per atom): 358
data_Li2CaZr
_cell_length_a 3.095
_cell_length_b 3.095
_cell_length_c 9.741
_cell_angle_alpha 90.00
_cell_angle_beta 90.00
_cell_angle_gamma 90.00
_symmetry_space_group_name_H-M 'P 4/m m m'
_symmetry_Int_Tables_number 123
_symmetry_space_group_name_Hall '-P 4 2'
loop_
_atom_site_label
_atom_site_fract_x
_atom_site_fract_y
_atom_site_fract_z
Li1 0.000 0.000 0.231
Ca1 0.500 0.500 0.500
Zr1 0.500 0.500 0.000